AcHfZrIr2: relaxed, GGA-PBE.

Cell: 4.5690 4.5690 6.4870 Å, 110.62 110.62 90.00°
Fractional coordinates of all 5 atoms:
1 Ac 0.0000 0.0000 0.0000
2 Hf 0.2500 0.7500 0.5000
3 Zr 0.7500 0.2500 0.5000
4 Ir 0.6210 0.6210 0.2421
5 Ir 0.3790 0.3790 0.7579

Its volume is 23.49 Å³/atom. As for the spin magnetization: 0.000 μB/atom. For the formation energy, the calculation gives -0.795 eV per atom. The total energy is -44.31 eV per cell.